(1)
Computed, not measured: crystalline InHgClO2 at its relaxed geometry at the PBE level of DFT.

## Properties
Its space group is No. 11. The value obtained for the density of states at the Fermi level is 2.0 states/eV/cell. The calculation puts the final energy at -3.825 eV per atom. The calculation puts the formation energy from raw total energies at -0.864 eV per atom.

Lattice parameters (Å, degrees): 6.8907 3.3450 7.8183 90.00 105.42 90.00
Element x y z (fractional)
1 In 0.1669 0.2500 0.1855
2 In 0.8331 0.7500 0.8145
3 Hg 0.3322 0.2500 0.8062
4 Hg 0.6678 0.7500 0.1938
5 Cl 0.2424 0.7500 0.4919
6 Cl 0.7576 0.2500 0.5081
7 O 0.0540 0.2500 0.8719
8 O 0.3538 0.7500 0.1418
9 O 0.6462 0.2500 0.8582
10 O 0.9460 0.7500 0.1281



(2)
Computed, not measured: crystalline InHgP2Cl at its relaxed geometry at the PBE level of DFT.

## Properties
Its space group is No. 123. The value obtained for the density of states at the Fermi level is 2.7 states/eV/cell. The calculation puts the final energy at -2.477 eV per atom. The calculation puts the formation energy from raw total energies at 0.664 eV per atom.

Lattice parameters (Å, degrees): 5.0468 5.0468 6.0294 90.00 90.00 90.00
Element x y z (fractional)
1 In 0.0000 0.0000 0.0000
2 Hg 0.5000 0.5000 0.5000
3 P 0.0000 0.5000 0.5000
4 P 0.5000 0.0000 0.5000
5 Cl 0.5000 0.5000 0.0000



(3)
Computed, not measured: crystalline InHgP2Cl at its relaxed geometry at the PBE level of DFT.

## Properties
Its space group is No. 123. The value obtained for the density of states at the Fermi level is 4.1 states/eV/cell. The calculation puts the final energy at -2.514 eV per atom. The calculation puts the formation energy from raw total energies at 0.628 eV per atom.

Lattice parameters (Å, degrees): 5.2095 5.2095 5.2369 90.00 90.00 90.00
Element x y z (fractional)
1 In 0.0000 0.0000 0.0000
2 Hg 0.5000 0.5000 0.5000
3 P 0.0000 0.5000 0.0000
4 P 0.5000 0.0000 0.0000
5 Cl 0.0000 0.0000 0.5000



(4)
Computed, not measured: crystalline InHgPCl2 at its relaxed geometry at the PBE level of DFT.

## Properties
Its space group is No. 123. The value obtained for the density of states at the Fermi level is 1.3 states/eV/cell. The calculation puts the final energy at -2.356 eV per atom. The calculation puts the formation energy from raw total energies at 0.072 eV per atom.

Lattice parameters (Å, degrees): 5.5481 5.5481 5.0025 90.00 90.00 90.00
Element x y z (fractional)
1 In 0.0000 0.0000 0.0000
2 Hg 0.5000 0.5000 0.5000
3 P 0.5000 0.5000 0.0000
4 Cl 0.0000 0.5000 0.5000
5 Cl 0.5000 0.0000 0.5000



(5)
Computed, not measured: crystalline InHgPCl2 at its relaxed geometry at the PBE level of DFT.

## Properties
Its space group is No. 123. The value obtained for the density of states at the Fermi level is 1.4 states/eV/cell. The calculation puts the final energy at -2.476 eV per atom. The calculation puts the formation energy from raw total energies at -0.048 eV per atom.

Lattice parameters (Å, degrees): 5.2256 5.2256 5.3699 90.00 90.00 90.00
Element x y z (fractional)
1 In 0.0000 0.0000 0.0000
2 Hg 0.5000 0.5000 0.5000
3 P 0.0000 0.0000 0.5000
4 Cl 0.0000 0.5000 0.0000
5 Cl 0.5000 0.0000 0.0000



(6)
Computed, not measured: crystalline InHgPbCl6 at its relaxed geometry at the PBE level of DFT.

## Properties
Its space group is No. 5. The value obtained for the density of states at the Fermi level is 4.6 states/eV/cell. The calculation puts the final energy at -2.864 eV per atom. The calculation puts the formation energy from raw total energies at -0.883 eV per atom.

Lattice parameters (Å, degrees): 7.1123 7.1123 6.3861 90.03 90.03 119.97
Element x y z (fractional)
1 In 0.0000 0.0000 0.0000
2 Hg 0.6666 0.3334 0.5000
3 Pb 0.3333 0.6667 0.0000
4 Cl 0.0009 0.2959 0.7676
5 Cl 0.0017 0.7056 0.2325
6 Cl 0.2944 0.9983 0.7675
7 Cl 0.2947 0.2962 0.2327
8 Cl 0.7038 0.7053 0.7673
9 Cl 0.7041 0.9991 0.2324



What did the second record say?
Computed, not measured: crystalline InHgP2Cl at its relaxed geometry at the PBE level of DFT.

## Properties
Its space group is No. 123. The value obtained for the density of states at the Fermi level is 2.7 states/eV/cell. The calculation puts the final energy at -2.477 eV per atom. The calculation puts the formation energy from raw total energies at 0.664 eV per atom.

Lattice parameters (Å, degrees): 5.0468 5.0468 6.0294 90.00 90.00 90.00
Element x y z (fractional)
1 In 0.0000 0.0000 0.0000
2 Hg 0.5000 0.5000 0.5000
3 P 0.0000 0.5000 0.5000
4 P 0.5000 0.0000 0.5000
5 Cl 0.5000 0.5000 0.0000